(1)
# Hf8Ge2Ir3 (PBE-GGA, relaxed)
data_Hf8Ge2Ir3
_chemical_formula_sum 'Hf16 Ge4 Ir6'
_space_group_name_H-M_alt 'C 1 2/m 1'
_space_group_IT_number 12
_space_group_name_Hall '-C 2y'
_cell_length_a 15.0004
_cell_length_b 6.4880
_cell_length_c 5.5504
_cell_angle_alpha 90.00
_cell_angle_beta 95.97
_cell_angle_gamma 90.00
loop_
_atom_site_label
_atom_site_fract_x
_atom_site_fract_y
_atom_site_fract_z
Hf1 0.0589 0.0000 0.2702
Hf2 0.1291 0.2425 0.8344
Hf3 0.1720 0.5000 0.3363
Ge1 0.2308 0.0000 0.1875
Ir1 0.0000 0.3083 0.5000
Ir2 0.0000 0.5000 0.0000
# N(E_F) = 20.99 states/eV/cell
# VASP energy = -9.2835 eV/atom
# Calculated formation energy = -0.403 eV per atom

=====

(2)
# HfGe2Ir (PBE-GGA, relaxed)
data_HfGe2Ir
_chemical_formula_sum 'Hf4 Ge8 Ir4'
_space_group_name_H-M_alt 'F m -3 m'
_space_group_IT_number 225
_space_group_name_Hall '-F 4 2 3'
_cell_length_a 6.4343
_cell_length_b 6.4343
_cell_length_c 6.4343
_cell_angle_alpha 90.00
_cell_angle_beta 90.00
_cell_angle_gamma 90.00
loop_
_atom_site_label
_atom_site_fract_x
_atom_site_fract_y
_atom_site_fract_z
Hf1 0.0000 0.0000 0.0000
Ge1 0.2500 0.2500 0.2500
Ir1 0.0000 0.0000 0.5000
# N(E_F) = 14.21 states/eV/cell
# VASP energy = -7.1744 eV/atom
# Calculated formation energy = -0.162 eV per atom

=====

Copy entry 1 word for word.
# Hf8Ge2Ir3 (PBE-GGA, relaxed)
data_Hf8Ge2Ir3
_chemical_formula_sum 'Hf16 Ge4 Ir6'
_space_group_name_H-M_alt 'C 1 2/m 1'
_space_group_IT_number 12
_space_group_name_Hall '-C 2y'
_cell_length_a 15.0004
_cell_length_b 6.4880
_cell_length_c 5.5504
_cell_angle_alpha 90.00
_cell_angle_beta 95.97
_cell_angle_gamma 90.00
loop_
_atom_site_label
_atom_site_fract_x
_atom_site_fract_y
_atom_site_fract_z
Hf1 0.0589 0.0000 0.2702
Hf2 0.1291 0.2425 0.8344
Hf3 0.1720 0.5000 0.3363
Ge1 0.2308 0.0000 0.1875
Ir1 0.0000 0.3083 0.5000
Ir2 0.0000 0.5000 0.0000
# N(E_F) = 20.99 states/eV/cell
# VASP energy = -9.2835 eV/atom
# Calculated formation energy = -0.403 eV per atom

=====

Q: Which of these has the highest N(E_F)?
A: Hf8Ge2Ir3

=====

Please write out number 1 again, unchanged.
# Hf8Ge2Ir3 (PBE-GGA, relaxed)
data_Hf8Ge2Ir3
_chemical_formula_sum 'Hf16 Ge4 Ir6'
_space_group_name_H-M_alt 'C 1 2/m 1'
_space_group_IT_number 12
_space_group_name_Hall '-C 2y'
_cell_length_a 15.0004
_cell_length_b 6.4880
_cell_length_c 5.5504
_cell_angle_alpha 90.00
_cell_angle_beta 95.97
_cell_angle_gamma 90.00
loop_
_atom_site_label
_atom_site_fract_x
_atom_site_fract_y
_atom_site_fract_z
Hf1 0.0589 0.0000 0.2702
Hf2 0.1291 0.2425 0.8344
Hf3 0.1720 0.5000 0.3363
Ge1 0.2308 0.0000 0.1875
Ir1 0.0000 0.3083 0.5000
Ir2 0.0000 0.5000 0.0000
# N(E_F) = 20.99 states/eV/cell
# VASP energy = -9.2835 eV/atom
# Calculated formation energy = -0.403 eV per atom

=====

What did the first record say?
# Hf8Ge2Ir3 (PBE-GGA, relaxed)
data_Hf8Ge2Ir3
_chemical_formula_sum 'Hf16 Ge4 Ir6'
_space_group_name_H-M_alt 'C 1 2/m 1'
_space_group_IT_number 12
_space_group_name_Hall '-C 2y'
_cell_length_a 15.0004
_cell_length_b 6.4880
_cell_length_c 5.5504
_cell_angle_alpha 90.00
_cell_angle_beta 95.97
_cell_angle_gamma 90.00
loop_
_atom_site_label
_atom_site_fract_x
_atom_site_fract_y
_atom_site_fract_z
Hf1 0.0589 0.0000 0.2702
Hf2 0.1291 0.2425 0.8344
Hf3 0.1720 0.5000 0.3363
Ge1 0.2308 0.0000 0.1875
Ir1 0.0000 0.3083 0.5000
Ir2 0.0000 0.5000 0.0000
# N(E_F) = 20.99 states/eV/cell
# VASP energy = -9.2835 eV/atom
# Calculated formation energy = -0.403 eV per atom